[1]
Sc2SiNi | PBE | relaxed

Output
DOS at the Fermi energy, states/eV per atom: 0.923
Total energy, eV for the cell shown: -26.05
Size of the total moment, μB/f.u.: 0.00
SG: No. 44

Cell: 5.620 5.620 4.354 Å, 67.22 67.22 32.77°
Atoms (fractional coordinates):
Ni (0.225, 0.225, 0.275)
Sc (0.974, 0.974, 0.026)
Si (0.549, 0.549, 0.452)
Sc (0.753, 0.753, 0.747)



[2]
Ce6PIr2Cl3 | PBE | relaxed

Output
DOS at the Fermi energy, states/eV per atom: 2.870
Total energy, eV for the cell shown: -79.18
Size of the total moment, μB/f.u.: 5.56
SG: No. 12

Cell: 7.124 7.124 7.325 Å, 99.39 99.39 119.89°
Each line ends with the local moment (μB).
Atoms (fractional coordinates):
P (0.000, 0.000, 0.000)  -0.03
Ce (0.734, 0.734, 0.219)  0.73
Ce (0.074, 0.414, 0.223)  0.78
Ir (0.667, 0.333, 0.000)  -0.04
Ce (0.414, 0.074, 0.223)  0.78
Cl (0.161, 0.839, 0.500)  -0.01
Ce (0.266, 0.266, 0.781)  0.73
Cl (0.500, 0.500, 0.500)  -0.01
Ce (0.586, 0.926, 0.777)  0.78
Cl (0.839, 0.161, 0.500)  -0.01
Ir (0.333, 0.667, 0.000)  -0.04
Ce (0.926, 0.586, 0.777)  0.78



[3]
CdRhSeBr2 | PBE | relaxed

Output
DOS at the Fermi energy, states/eV per atom: 0.548
Total energy, eV for the cell shown: -15.10
Size of the total moment, μB/f.u.: 0.00
SG: No. 123

Cell: 5.171 5.171 4.821 Å, 90.00 90.00 90.00°
Atoms (fractional coordinates):
Br (0.000, 0.500, 0.000)
Br (0.500, 0.000, 0.000)
Se (0.000, 0.000, 0.500)
Rh (0.000, 0.000, 0.000)
Cd (0.500, 0.500, 0.500)



[4]
CsOsI3 | PBE | relaxed

Output
DOS at the Fermi energy, states/eV per atom: 1.120
Total energy, eV for the cell shown: -16.99
Size of the total moment, μB/f.u.: 1.79
SG: No. 221

Cell: 5.643 5.643 5.643 Å, 90.00 90.00 90.00°
Each line ends with the local moment (μB).
Atoms (fractional coordinates):
Cs (0.500, 0.500, 0.500)  0.01
I (0.500, 0.000, 0.000)  0.10
I (0.000, 0.500, 0.000)  0.03
I (0.000, 0.000, 0.500)  0.02
Os (0.000, 0.000, 0.000)  1.37



[5]
In2SbAu | PBE | relaxed

Output
DOS at the Fermi energy, states/eV per atom: 0.247
Total energy, eV for the cell shown: -12.71
Size of the total moment, μB/f.u.: 0.00
SG: No. 123

Cell: 4.296 4.295 5.371 Å, 90.00 90.00 90.00°
Atoms (fractional coordinates):
In (0.000, 0.000, 0.000)
Au (0.000, 0.500, 0.500)
Sb (0.500, 0.000, 0.500)
In (0.500, 0.500, 0.000)



[6]
Tb3Dy3Er2 | PBE | relaxed

Output
DOS at the Fermi energy, states/eV per atom: 1.370
Formation energy, eV/atom: 0.02
Size of the total moment, μB/f.u.: 0.00
SG: No. 71

Cell: 4.996 4.996 10.596 Å, 103.61 103.64 90.00°
Atoms (fractional coordinates):
Tb (0.000, 0.500, 0.000)
Dy (0.626, 0.626, 0.252)
Dy (0.374, 0.374, 0.748)
Er (0.250, 0.750, 0.500)
Dy (0.500, 0.000, 0.000)
Er (0.750, 0.250, 0.500)
Tb (0.874, 0.874, 0.749)
Tb (0.126, 0.126, 0.251)



[7]
SrBi3Sb3 | PBE | relaxed

Output
DOS at the Fermi energy, states/eV per atom: 0.431
Total energy, eV for the cell shown: -48.94
Size of the total moment, μB/f.u.: 0.00
SG: No. 223

Cell: 8.643 8.643 8.643 Å, 90.00 90.00 90.00°
Atoms (fractional coordinates):
Sb (0.500, 0.000, 0.250)
Bi (0.750, 0.000, 0.500)
Sb (0.000, 0.750, 0.500)
Sr (0.000, 0.000, 0.000)
Sb (0.500, 0.000, 0.750)
Bi (0.500, 0.250, 0.000)
Sb (0.250, 0.500, 0.000)
Sb (0.750, 0.500, 0.000)
Bi (0.500, 0.750, 0.000)
Sb (0.000, 0.250, 0.500)
Bi (0.000, 0.500, 0.750)
Sr (0.500, 0.500, 0.500)
Bi (0.000, 0.500, 0.250)
Bi (0.250, 0.000, 0.500)



[8]
Ru2Pb | PBE | relaxed

Output
DOS at the Fermi energy, states/eV per atom: 1.557
Formation energy, eV/atom: 1.23
Size of the total moment, μB/f.u.: 0.00
SG: No. 205

Cell: 6.355 6.355 6.355 Å, 90.00 90.00 90.00°
Atoms (fractional coordinates):
Ru (0.397, 0.103, 0.103)
Ru (0.103, 0.603, 0.103)
Ru (0.897, 0.397, 0.897)
Ru (0.397, 0.397, 0.603)
Ru (0.603, 0.603, 0.397)
Ru (0.103, 0.897, 0.603)
Pb (0.000, 0.500, 0.500)
Pb (0.500, 0.000, 0.500)
Ru (0.897, 0.103, 0.397)
Pb (0.500, 0.500, 0.000)
Pb (0.000, 0.000, 0.000)
Ru (0.603, 0.897, 0.897)



[9]
SbPt2WBr | PBE | relaxed

Output
DOS at the Fermi energy, states/eV per atom: 0.510
Total energy, eV for the cell shown: -23.49
Size of the total moment, μB/f.u.: 2.40
SG: No. 123

Cell: 4.952 5.298 4.952 Å, 90.00 90.00 90.00°
Each line ends with the local moment (μB).
Atoms (fractional coordinates):
Br (0.500, 0.500, 0.500)  -0.09
Sb (0.000, 0.000, 0.000)  -0.07
W (0.000, 0.500, 0.000)  2.21
Pt (0.000, 0.000, 0.500)  -0.08
Pt (0.500, 0.000, 0.000)  -0.15



[10]
Y2ZnGa4Ir3 | PBE | relaxed

Output
DOS at the Fermi energy, states/eV per atom: 0.434
Formation energy, eV/atom: -0.64
Size of the total moment, μB/f.u.: 0.00
SG: No. 115

Cell: 4.032 4.032 11.250 Å, 90.00 90.00 90.00°
Atoms (fractional coordinates):
Ga (0.500, 0.000, 0.637)
Ga (0.000, 0.000, 0.000)
Ir (0.000, 0.500, 0.140)
Y (0.000, 0.500, 0.757)
Ga (0.000, 0.500, 0.363)
Ir (0.500, 0.000, 0.860)
Y (0.500, 0.000, 0.243)
Zn (0.500, 0.500, 0.500)
Ir (0.000, 0.000, 0.500)
Ga (0.500, 0.500, 0.000)



[11]
Ta2CdNi | PBE | relaxed

Output
DOS at the Fermi energy, states/eV per atom: 0.903
Formation energy, eV/atom: 0.27
Size of the total moment, μB/f.u.: 0.00
SG: No. 12

Cell: 5.311 5.311 2.776 Å, 83.59 83.59 118.01°
Atoms (fractional coordinates):
Ta (0.000, 0.000, 0.000)
Ta (0.500, 0.500, 0.000)
Ni (0.000, 0.500, 0.500)
Cd (0.500, 0.000, 0.500)



[12]
Th2Al3Au | PBE | relaxed

Output
DOS at the Fermi energy, states/eV per atom: 0.743
Formation energy, eV/atom: -0.52
Size of the total moment, μB/f.u.: 0.00
SG: No. 44

Cell: 4.177 4.422 8.292 Å, 105.46 104.59 90.00°
Atoms (fractional coordinates):
Au (0.460, 0.960, 0.919)
Th (0.131, 0.131, 0.262)
Al (0.540, 0.540, 0.080)
Al (0.706, 0.706, 0.411)
Al (0.295, 0.795, 0.591)
Th (0.868, 0.368, 0.737)



[13]
KCd11Rh | PBE | relaxed

Output
DOS at the Fermi energy, states/eV per atom: 0.350
Formation energy, eV/atom: -0.06
Size of the total moment, μB/f.u.: 0.00
SG: No. 12

Cell: 5.659 7.810 7.736 Å, 83.22 68.55 71.17°
Atoms (fractional coordinates):
Cd (0.701, 0.776, 0.788)
Cd (0.500, 0.000, 0.500)
Cd (0.489, 0.776, 0.212)
K (0.000, 0.000, 0.000)
Cd (0.000, 0.000, 0.500)
Cd (0.978, 0.365, 0.658)
Cd (0.511, 0.224, 0.788)
Cd (0.364, 0.635, 0.658)
Cd (0.299, 0.224, 0.212)
Cd (0.636, 0.365, 0.342)
Rh (0.500, 0.500, 0.000)
Cd (0.000, 0.500, 0.000)
Cd (0.022, 0.635, 0.342)



[14]
Na2SeO3 | PBE | relaxed

Output
DOS at the Fermi energy, states/eV per atom: 0.000
Total energy, eV for the cell shown: -58.69
Size of the total moment, μB/f.u.: 0.00
SG: No. 2

Cell: 5.505 6.880 8.197 Å, 68.66 131.95 123.02°
Atoms (fractional coordinates):
O (0.161, 0.292, 0.536)
Na (0.196, 0.387, 0.250)
O (0.873, 0.980, 0.749)
O (0.839, 0.708, 0.464)
Na (0.562, 0.019, 0.252)
Se (0.153, 0.267, 0.751)
O (0.127, 0.020, 0.251)
O (0.412, 0.712, 0.035)
Na (0.438, 0.981, 0.748)
O (0.588, 0.288, 0.965)
Se (0.847, 0.733, 0.249)
Na (0.804, 0.613, 0.750)



[15]
Pm2Dy2Se3S2 | PBE | relaxed

Output
DOS at the Fermi energy, states/eV per atom: 0.624
Total energy, eV for the cell shown: -51.39
Size of the total moment, μB/f.u.: 0.00
SG: No. 139

Cell: 5.623 5.623 8.215 Å, 110.01 110.01 90.00°
Atoms (fractional coordinates):
Dy (0.500, 0.000, 0.000)
Se (0.250, 0.750, 0.500)
Dy (0.000, 0.500, 0.000)
S (0.403, 0.403, 0.805)
Pm (0.212, 0.212, 0.424)
Se (0.750, 0.250, 0.500)
Pm (0.788, 0.788, 0.576)
Se (0.000, 0.000, 0.000)
S (0.597, 0.597, 0.195)



[16]
CeAsI | PBE | relaxed

Output
Total energy, eV for the cell shown: -14.59
Size of the total moment, μB/f.u.: 0.15
SG: No. 160

Cell: 4.983 4.983 4.983 Å, 63.57 63.57 63.57°
Each line ends with the local moment (μB).
Atoms (fractional coordinates):
I (0.177, 0.177, 0.177)  -0.02
As (0.663, 0.663, 0.663)  -0.04
Ce (0.913, 0.913, 0.913)  0.26



[17]
MgTeHPb2 | PBE | relaxed

Output
DOS at the Fermi energy, states/eV per atom: 0.356
Total energy, eV for the cell shown: -14.48
Size of the total moment, μB/f.u.: 0.00
SG: No. 123

Cell: 6.195 3.747 6.195 Å, 90.00 90.00 90.00°
Atoms (fractional coordinates):
H (0.000, 0.500, 0.000)
Pb (0.000, 0.000, 0.500)
Mg (0.500, 0.500, 0.500)
Pb (0.500, 0.000, 0.000)
Te (0.000, 0.000, 0.000)



[18]
Sr2CoHg | PBE | relaxed

Output
DOS at the Fermi energy, states/eV per atom: 2.509
Formation energy, eV/atom: 0.36
Size of the total moment, μB/f.u.: 1.70
SG: No. 216

Cell: 5.290 5.290 5.290 Å, 60.00 60.00 60.00°
Each line ends with the local moment (μB).
Atoms (fractional coordinates):
Sr (0.000, 0.000, 0.000)  0.00
Sr (0.250, 0.250, 0.250)  0.01
Co (0.500, 0.500, 0.500)  1.58
Hg (0.750, 0.750, 0.750)  0.01



[19]
TeWAu2 | PBE | relaxed

Output
DOS at the Fermi energy, states/eV per atom: 0.780
Total energy, eV for the cell shown: -20.40
Size of the total moment, μB/f.u.: 0.00
SG: No. 35

Cell: 2.957 2.957 9.899 Å, 90.00 90.00 109.12°
Atoms (fractional coordinates):
Au (0.000, 0.000, 0.984)
Au (0.500, 0.500, 0.218)
W (0.500, 0.500, 0.761)
Te (0.000, 0.000, 0.537)



[20]
MgTcN3 | PBE | relaxed

Output
DOS at the Fermi energy, states/eV per atom: 0.476
Total energy, eV for the cell shown: -34.70
Size of the total moment, μB/f.u.: 0.00
SG: No. 221

Cell: 3.869 3.869 3.869 Å, 90.00 90.00 90.00°
Atoms (fractional coordinates):
Mg (0.500, 0.500, 0.500)
N (0.000, 0.000, 0.500)
Tc (0.000, 0.000, 0.000)
N (0.000, 0.500, 0.000)
N (0.500, 0.000, 0.000)



[21]
La3PrTm4 | PBE | relaxed

Output
DOS at the Fermi energy, states/eV per atom: 1.684
Formation energy, eV/atom: 0.14
Size of the total moment, μB/f.u.: 0.00
SG: No. 71

Cell: 3.460 9.039 9.039 Å, 81.43 78.97 78.97°
Atoms (fractional coordinates):
La (0.243, 0.757, 0.757)
Tm (0.365, 0.384, 0.887)
Tm (0.635, 0.113, 0.616)
Tm (0.635, 0.616, 0.113)
Tm (0.365, 0.887, 0.384)
Pr (0.500, 0.000, 0.000)
La (0.757, 0.243, 0.243)
La (0.000, 0.500, 0.500)